The following is a DFT calculation (GGA+U) of a relaxed SrCrI2O crystal.

SG   P4/mmm (123)
Excess energy over the best structure of this formula in the dataset   0 meV per atom
Magnetization   3.75 μB per cell

a b c (Å): 5.9182 5.9182 3.9084
angles (deg): 90.00 90.00 90.00
Last column: nearest neighbours and their distance in Å.
Positions (direct):
I1 0.0000 0.5000 0.0000  2 Cr 2.96
I2 0.5000 0.0000 0.0000  2 Cr 2.96
Cr1 0.0000 0.0000 0.0000  2 O 1.95
Sr1 0.5000 0.5000 0.5000  8 I 3.55, 2 Sr 3.91
O1 0.0000 0.0000 0.5000  2 Cr 1.95